# 1
DFT (PBE) results for Tb2NpN after structural relaxation.

Computed properties:
Volume in Å³/cell: 81
Density of states at the Fermi level in states/eV/f.u.: 7.53
Polymorph energy (0 for the lowest one) in meV per atom: 1169
Formation energy without anion corrections in meV per atom: 803

Cell: 3.382 4.900 4.900 Å, 90.00 90.00 90.00°
Site moments in Bohr magnetons follow the coordinates.
Positions (direct):
Np  0.500  0.000  0.000  3.79
Tb  0.000  0.000  0.500  0.18
Tb  0.000  0.500  0.000  0.18
N  0.500  0.500  0.500  -0.10

---

# 2
DFT (PBE) results for TbNp3N4 after structural relaxation.

Computed properties:
Volume in Å³/cell: 117
Density of states at the Fermi level in states/eV/f.u.: 13.39
Formation energy without anion corrections in meV per atom: -1242

Cell: 4.899 4.899 5.992 Å, 114.13 114.13 90.00°
Site moments in Bohr magnetons follow the coordinates.
Positions (direct):
Np  0.500  0.500  0.000  3.27
Np  0.750  0.250  0.500  3.33
Np  0.250  0.750  0.500  3.33
Tb  0.000  0.000  0.000  0.11
N  0.000  0.500  0.000  -0.14
N  0.500  0.000  0.000  -0.14
N  0.255  0.255  0.510  -0.16
N  0.745  0.745  0.490  -0.16

---

# 3
DFT (PBE) results for Tb4NpN4 after structural relaxation.

Computed properties:
Volume in Å³/cell: 174
Density of states at the Fermi level in states/eV/f.u.: 5.92
Formation energy without anion corrections in meV per atom: -772

Cell: 5.651 5.651 6.767 Å, 114.68 114.68 90.00°
Site moments in Bohr magnetons follow the coordinates.
Positions (direct):
Tb  0.500  0.000  0.000  0.00
Tb  0.000  0.500  0.000  0.00
Tb  0.284  0.284  0.567  -0.08
Tb  0.716  0.716  0.433  -0.08
Np  0.000  0.000  0.000  2.05
N  0.652  0.652  0.753  -0.02
N  0.348  0.900  0.247  -0.02
N  0.100  0.100  0.753  -0.02
N  0.900  0.348  0.247  -0.02

---

# 4
DFT (PBE) results for Tb4NpN5 after structural relaxation.

Computed properties:
Volume in Å³/cell: 149
Density of states at the Fermi level in states/eV/f.u.: 4.89
Formation energy without anion corrections in meV per atom: -1566

Cell: 4.929 6.017 6.017 Å, 80.34 65.82 65.82°
Site moments in Bohr magnetons follow the coordinates.
Positions (direct):
Tb  0.402  0.399  0.799  0.05
Tb  0.801  0.799  0.601  0.05
Tb  0.201  0.201  0.399  0.05
Tb  0.600  0.601  0.201  0.05
Np  0.001  0.000  0.000  2.73
N  0.908  0.378  0.809  -0.06
N  0.286  0.809  0.622  -0.06
N  0.717  0.191  0.378  -0.06
N  0.095  0.622  0.191  -0.06
N  0.501  0.000  0.000  -0.08

---

# 5
DFT (PBE) results for TbNpTeN2 after structural relaxation.

Computed properties:
Volume in Å³/cell: 205
Density of states at the Fermi level in states/eV/f.u.: 5.78
Formation energy without anion corrections in meV per atom: -1357

Cell: 4.050 6.784 7.774 Å, 106.00 90.00 90.00°
Site moments in Bohr magnetons follow the coordinates.
Positions (direct):
Tb  0.250  0.673  0.922  -0.02
Tb  0.750  0.327  0.078  -0.02
Np  0.250  0.654  0.403  2.35
Np  0.750  0.346  0.597  2.35
Te  0.250  0.047  0.751  -0.09
Te  0.750  0.953  0.249  -0.09
N  0.750  0.518  0.394  -0.16
N  0.250  0.482  0.606  -0.16
N  0.750  0.507  0.859  -0.10
N  0.250  0.493  0.141  -0.10

---

# 6
DFT (PBE) results for Tb2ThNpN4 after structural relaxation.

Computed properties:
Volume in Å³/cell: 125
Density of states at the Fermi level in states/eV/f.u.: 8.04
Formation energy without anion corrections in meV per atom: -1476

Cell: 3.534 6.118 6.125 Å, 109.46 90.00 90.00°
Site moments in Bohr magnetons follow the coordinates.
Positions (direct):
Tb  0.500  0.000  0.500  0.06
Tb  0.000  0.500  0.500  0.10
Th  0.500  0.500  0.000  0.10
Np  0.000  0.000  0.000  3.29
N  0.500  0.238  0.243  -0.09
N  0.500  0.762  0.757  -0.09
N  0.000  0.243  0.752  -0.04
N  0.000  0.757  0.248  -0.04